## w
Material: BaLaSi2
Method: DFT, meta-GGA SCAN
State: single point on PBEsol structure

CIF file:
```
data_BaLaSi2
_chemical_formula_sum 'Ba1 La1 Si2'
_space_group_name_H-M_alt 'P 1'
_space_group_IT_number 1
_cell_length_a 4.3949
_cell_length_b 4.3949
_cell_length_c 6.4437
_cell_angle_alpha 90.00
_cell_angle_beta 90.00
_cell_angle_gamma 90.00
loop_
_space_group_symop_operation_xyz
'x,y,z'
loop_
_atom_site_label
_atom_site_fract_x
_atom_site_fract_y
_atom_site_fract_z
Ba1 0.0000 0.0000 0.4028
La1 0.5000 0.5000 0.8588
Si1 0.0000 0.0000 0.9162
Si2 0.5000 0.5000 0.3222
```

Properties
M_tot (μB/cell): 0.0
Symmetry: P4mm, No. 99


## x
Material: BaLaSi2
Method: DFT, meta-GGA SCAN
State: single point on PBEsol structure

CIF file:
```
data_BaLaSi2
_chemical_formula_sum 'Ba2 La2 Si4'
_space_group_name_H-M_alt 'P 1'
_space_group_IT_number 1
_cell_length_a 4.5572
_cell_length_b 6.6999
_cell_length_c 7.6805
_cell_angle_alpha 90.00
_cell_angle_beta 107.26
_cell_angle_gamma 90.00
loop_
_space_group_symop_operation_xyz
'x,y,z'
loop_
_atom_site_label
_atom_site_fract_x
_atom_site_fract_y
_atom_site_fract_z
Si1 0.9231 0.9325 0.8461
Si2 0.0769 0.0675 0.1539
Si3 0.9231 0.5675 0.8461
Si4 0.0769 0.4325 0.1539
Ba1 0.2765 0.7500 0.5530
Ba2 0.7235 0.2500 0.4470
La1 0.5489 0.7500 0.0979
La2 0.4511 0.2500 0.9021
```

Properties
M_tot (μB/cell): 1.2
Symmetry: Cmcm, No. 63


Which one sits at the bottom of the stability order? w does.


## w
Material: BaLaSi2
Method: DFT, meta-GGA SCAN
State: single point on PBEsol structure

CIF file:
```
data_BaLaSi2
_chemical_formula_sum 'Ba1 La1 Si2'
_space_group_name_H-M_alt 'P 1'
_space_group_IT_number 1
_cell_length_a 3.9757
_cell_length_b 4.6107
_cell_length_c 6.3953
_cell_angle_alpha 111.13
_cell_angle_beta 90.00
_cell_angle_gamma 90.00
loop_
_space_group_symop_operation_xyz
'x,y,z'
loop_
_atom_site_label
_atom_site_fract_x
_atom_site_fract_y
_atom_site_fract_z
Si1 0.5000 0.0718 0.1436
Si2 0.0000 0.1925 0.3851
Ba1 0.0000 0.4760 0.9520
La1 0.5000 0.7597 0.5194
```

Properties
M_tot (μB/cell): 0.0
Symmetry: Amm2, No. 38


## x
Material: BaLaSi2
Method: DFT, meta-GGA SCAN
State: single point on PBEsol structure

CIF file:
```
data_BaLaSi2
_chemical_formula_sum 'Ba1 La1 Si2'
_space_group_name_H-M_alt 'P 1'
_space_group_IT_number 1
_cell_length_a 3.4990
_cell_length_b 3.4990
_cell_length_c 8.6762
_cell_angle_alpha 90.00
_cell_angle_beta 90.00
_cell_angle_gamma 90.00
loop_
_space_group_symop_operation_xyz
'x,y,z'
loop_
_atom_site_label
_atom_site_fract_x
_atom_site_fract_y
_atom_site_fract_z
Ba1 0.5000 0.5000 0.0000
La1 0.5000 0.5000 0.5000
Si1 0.0000 0.0000 0.7320
Si2 0.0000 0.0000 0.2680
```

Properties
M_tot (μB/cell): 0.0
Symmetry: P4/mmm, No. 123


Which one sits at the bottom of the stability order? x does.


## w
Material: BaLaTe2
Method: DFT, meta-GGA SCAN
State: single point on PBEsol structure

CIF file:
```
data_BaLaTe2
_chemical_formula_sum 'Ba1 La1 Te2'
_space_group_name_H-M_alt 'P 1'
_space_group_IT_number 1
_cell_length_a 4.6954
_cell_length_b 4.6954
_cell_length_c 6.6284
_cell_angle_alpha 90.00
_cell_angle_beta 90.00
_cell_angle_gamma 90.00
loop_
_space_group_symop_operation_xyz
'x,y,z'
loop_
_atom_site_label
_atom_site_fract_x
_atom_site_fract_y
_atom_site_fract_z
Te1 0.0000 0.0000 0.5000
Te2 0.5000 0.5000 0.0000
Ba1 0.0000 0.0000 0.0000
La1 0.5000 0.5000 0.5000
```

Properties
M_tot (μB/cell): 0.0
Symmetry: P4/mmm, No. 123


## x
Material: BaLaTe2
Method: DFT, meta-GGA SCAN
State: single point on PBEsol structure

CIF file:
```
data_BaLaTe2
_chemical_formula_sum 'Ba1 La1 Te2'
_space_group_name_H-M_alt 'P 1'
_space_group_IT_number 1
_cell_length_a 4.6648
_cell_length_b 4.6648
_cell_length_c 10.4009
_cell_angle_alpha 77.04
_cell_angle_beta 77.04
_cell_angle_gamma 60.00
loop_
_space_group_symop_operation_xyz
'x,y,z'
loop_
_atom_site_label
_atom_site_fract_x
_atom_site_fract_y
_atom_site_fract_z
Te1 0.8902 0.8902 0.3294
Te2 0.1098 0.1098 0.6706
Ba1 0.0000 0.0000 0.0000
La1 0.5000 0.5000 0.5000
```

Properties
M_tot (μB/cell): 0.6
Symmetry: R-3m, No. 166


Which one sits at the bottom of the stability order? x does.


## w
Material: BaLaTl
Method: DFT, meta-GGA SCAN
State: single point on PBEsol structure

CIF file:
```
data_BaLaTl
_chemical_formula_sum 'Ba1 La1 Tl1'
_space_group_name_H-M_alt 'P 1'
_space_group_IT_number 1
_cell_length_a 3.7703
_cell_length_b 4.7055
_cell_length_c 6.7588
_cell_angle_alpha 110.37
_cell_angle_beta 106.20
_cell_angle_gamma 90.00
loop_
_space_group_symop_operation_xyz
'x,y,z'
loop_
_atom_site_label
_atom_site_fract_x
_atom_site_fract_y
_atom_site_fract_z
Tl1 0.3169 0.3169 0.6339
Ba1 0.9799 0.9799 0.9598
La1 0.7032 0.7032 0.4063
```

Properties
M_tot (μB/cell): 0.0
Symmetry: Imm2, No. 44


## x
Material: BaLaTl
Method: DFT, meta-GGA SCAN
State: single point on PBEsol structure

CIF file:
```
data_BaLaTl
_chemical_formula_sum 'Ba1 La1 Tl1'
_space_group_name_H-M_alt 'P 1'
_space_group_IT_number 1
_cell_length_a 5.3757
_cell_length_b 5.3757
_cell_length_c 5.3757
_cell_angle_alpha 60.00
_cell_angle_beta 60.00
_cell_angle_gamma 60.00
loop_
_space_group_symop_operation_xyz
'x,y,z'
loop_
_atom_site_label
_atom_site_fract_x
_atom_site_fract_y
_atom_site_fract_z
Tl1 0.0000 0.0000 0.0000
Ba1 0.5000 0.5000 0.5000
La1 0.2500 0.2500 0.2500
```

Properties
M_tot (μB/cell): 0.0
Symmetry: F-43m, No. 216


Which one sits at the bottom of the stability order? x does.


## w
Material: Ba2LaZr
Method: DFT, meta-GGA SCAN
State: single point on PBEsol structure

CIF file:
```
data_Ba2LaZr
_chemical_formula_sum 'Ba2 La1 Zr1'
_space_group_name_H-M_alt 'P 1'
_space_group_IT_number 1
_cell_length_a 5.1297
_cell_length_b 5.1297
_cell_length_c 6.5516
_cell_angle_alpha 113.05
_cell_angle_beta 113.05
_cell_angle_gamma 90.00
loop_
_space_group_symop_operation_xyz
'x,y,z'
loop_
_atom_site_label
_atom_site_fract_x
_atom_site_fract_y
_atom_site_fract_z
Ba1 0.7500 0.2500 0.5000
Ba2 0.2500 0.7500 0.5000
La1 0.5000 0.5000 0.0000
Zr1 0.0000 0.0000 0.0000
```

Properties
M_tot (μB/cell): 0.0
Symmetry: I4/mmm, No. 139


## x
Material: Ba2LaZr
Method: DFT, meta-GGA SCAN
State: single point on PBEsol structure

CIF file:
```
data_Ba2LaZr
_chemical_formula_sum 'Ba2 La1 Zr1'
_space_group_name_H-M_alt 'P 1'
_space_group_IT_number 1
_cell_length_a 5.3763
_cell_length_b 6.2374
_cell_length_c 5.3763
_cell_angle_alpha 64.47
_cell_angle_beta 90.00
_cell_angle_gamma 115.53
loop_
_space_group_symop_operation_xyz
'x,y,z'
loop_
_atom_site_label
_atom_site_fract_x
_atom_site_fract_y
_atom_site_fract_z
Ba1 0.0000 0.0000 0.0000
Ba2 0.2500 0.5000 0.2500
La1 0.5000 0.0000 0.5000
Zr1 0.7500 0.5000 0.7500
```

Properties
M_tot (μB/cell): 1.4
Symmetry: I-4m2, No. 119


Which one sits at the bottom of the stability order? w does.


## w
Material: Ba2Li
Method: DFT, meta-GGA SCAN
State: single point on PBEsol structure

CIF file:
```
data_Ba2Li
_chemical_formula_sum 'Ba6 Li3'
_space_group_name_H-M_alt 'P 1'
_space_group_IT_number 1
_cell_length_a 4.9628
_cell_length_b 9.9209
_cell_length_c 9.9209
_cell_angle_alpha 120.00
_cell_angle_beta 90.00
_cell_angle_gamma 90.00
loop_
_space_group_symop_operation_xyz
'x,y,z'
loop_
_atom_site_label
_atom_site_fract_x
_atom_site_fract_y
_atom_site_fract_z
Ba1 0.0000 0.7433 0.7433
Ba2 0.0000 0.0000 0.2567
Ba3 0.0000 0.2567 0.0000
Ba4 0.5000 0.4042 0.4042
Ba5 0.5000 0.0000 0.5958
Ba6 0.5000 0.5958 0.0000
Li1 0.0000 0.6667 0.3333
Li2 0.0000 0.3333 0.6667
Li3 0.5000 0.0000 0.0000
```

Properties
M_tot (μB/cell): 0.0
Symmetry: P-62m, No. 189


## x
Material: Ba2Li
Method: DFT, meta-GGA SCAN
State: single point on PBEsol structure

CIF file:
```
data_Ba2Li
_chemical_formula_sum 'Ba2 Li1'
_space_group_name_H-M_alt 'P 1'
_space_group_IT_number 1
_cell_length_a 4.3214
_cell_length_b 4.3214
_cell_length_c 8.0551
_cell_angle_alpha 105.56
_cell_angle_beta 105.56
_cell_angle_gamma 90.00
loop_
_space_group_symop_operation_xyz
'x,y,z'
loop_
_atom_site_label
_atom_site_fract_x
_atom_site_fract_y
_atom_site_fract_z
Ba1 0.3595 0.3595 0.7190
Ba2 0.6405 0.6405 0.2810
Li1 0.0000 0.0000 0.0000
```

Properties
M_tot (μB/cell): 0.1
Symmetry: I4/mmm, No. 139


Which one sits at the bottom of the stability order? w does.


## w
Material: Ba2Li
Method: DFT, meta-GGA SCAN
State: single point on PBEsol structure

CIF file:
```
data_Ba2Li
_chemical_formula_sum 'Ba4 Li2'
_space_group_name_H-M_alt 'P 1'
_space_group_IT_number 1
_cell_length_a 6.3699
_cell_length_b 6.3699
_cell_length_c 7.9306
_cell_angle_alpha 90.00
_cell_angle_beta 90.00
_cell_angle_gamma 120.00
loop_
_space_group_symop_operation_xyz
'x,y,z'
loop_
_atom_site_label
_atom_site_fract_x
_atom_site_fract_y
_atom_site_fract_z
Ba1 0.0000 0.0000 0.0000
Ba2 0.0000 0.0000 0.5000
Ba3 0.6667 0.3333 0.2500
Ba4 0.3333 0.6667 0.7500
Li1 0.6667 0.3333 0.7500
Li2 0.3333 0.6667 0.2500
```

Properties
M_tot (μB/cell): 1.4
Symmetry: P6_3/mmc, No. 194


## x
Material: Ba2Li
Method: DFT, meta-GGA SCAN
State: single point on PBEsol structure

CIF file:
```
data_Ba2Li
_chemical_formula_sum 'Ba4 Li2'
_space_group_name_H-M_alt 'P 1'
_space_group_IT_number 1
_cell_length_a 7.1618
_cell_length_b 7.2370
_cell_length_c 7.2370
_cell_angle_alpha 75.83
_cell_angle_beta 60.34
_cell_angle_gamma 60.34
loop_
_space_group_symop_operation_xyz
'x,y,z'
loop_
_atom_site_label
_atom_site_fract_x
_atom_site_fract_y
_atom_site_fract_z
Ba1 0.8357 0.5000 0.8285
Ba2 0.1643 0.5000 0.1715
Ba3 0.3357 0.8285 0.5000
Ba4 0.6643 0.1715 0.5000
Li1 0.2500 0.0000 0.0000
Li2 0.7500 0.0000 0.0000
```

Properties
M_tot (μB/cell): 0.4
Symmetry: I4/mcm, No. 140


Which one sits at the bottom of the stability order? w does.


## w
Material: Ba5Li
Method: DFT, meta-GGA SCAN
State: single point on PBEsol structure

CIF file:
```
data_Ba5Li
_chemical_formula_sum 'Ba5 Li1'
_space_group_name_H-M_alt 'P 1'
_space_group_IT_number 1
_cell_length_a 4.3305
_cell_length_b 4.3305
_cell_length_c 16.8772
_cell_angle_alpha 90.00
_cell_angle_beta 90.00
_cell_angle_gamma 90.00
loop_
_space_group_symop_operation_xyz
'x,y,z'
loop_
_atom_site_label
_atom_site_fract_x
_atom_site_fract_y
_atom_site_fract_z
Ba1 0.0000 0.0000 0.8758
Ba2 0.0000 0.0000 0.1242
Ba3 0.5000 0.5000 0.6869
Ba4 0.5000 0.5000 0.3131
Ba5 0.0000 0.0000 0.5000
Li1 0.5000 0.5000 0.0000
```

Properties
M_tot (μB/cell): 0.5
Symmetry: P4/mmm, No. 123


## x
Material: Ba5Li
Method: DFT, meta-GGA SCAN
State: single point on PBEsol structure

CIF file:
```
data_Ba5Li
_chemical_formula_sum 'Ba5 Li1'
_space_group_name_H-M_alt 'P 1'
_space_group_IT_number 1
_cell_length_a 4.7622
_cell_length_b 6.6840
_cell_length_c 10.2218
_cell_angle_alpha 90.00
_cell_angle_beta 103.47
_cell_angle_gamma 90.00
loop_
_space_group_symop_operation_xyz
'x,y,z'
loop_
_atom_site_label
_atom_site_fract_x
_atom_site_fract_y
_atom_site_fract_z
Ba1 0.8301 0.0000 0.6602
Ba2 0.1699 0.0000 0.3398
Ba3 0.5000 0.0000 0.0000
Ba4 0.3465 0.5000 0.6930
Ba5 0.6535 0.5000 0.3070
Li1 0.0000 0.5000 0.0000
```

Properties
M_tot (μB/cell): 0.0
Symmetry: Cmmm, No. 65


## y
Material: Ba5Li
Method: DFT, meta-GGA SCAN
State: single point on PBEsol structure

CIF file:
```
data_Ba5Li
_chemical_formula_sum 'Ba5 Li1'
_space_group_name_H-M_alt 'P 1'
_space_group_IT_number 1
_cell_length_a 4.3713
_cell_length_b 7.6914
_cell_length_c 10.4641
_cell_angle_alpha 110.38
_cell_angle_beta 90.00
_cell_angle_gamma 106.51
loop_
_space_group_symop_operation_xyz
'x,y,z'
loop_
_atom_site_label
_atom_site_fract_x
_atom_site_fract_y
_atom_site_fract_z
Ba1 0.6361 0.2723 0.8647
Ba2 0.0000 0.0000 0.5000
Ba3 0.3639 0.7277 0.1353
Ba4 0.3291 0.6581 0.7043
Ba5 0.6709 0.3419 0.2957
Li1 0.0000 0.0000 0.0000
```

Properties
M_tot (μB/cell): 0.7
Symmetry: C2/m, No. 12


Which one sits at the bottom of the stability order? x does.